[1]
! CaCd2Rh (PBE, optimized geometry); values from VASP
! E_form: -0.2132 eV per atom
! SG: No. 225
! Crystal system: cubic
&SYSTEM
  ibrav = 0, nat = 4, ntyp = 3
/
ATOMIC_SPECIES
Rh 102.91 Rh.upf
Ca 40.08 Ca.upf
Cd 112.41 Cd.upf
ATOMIC_POSITIONS crystal
Rh 0.500 0.500 0.500
Ca 0.000 0.000 0.000
Cd 0.250 0.250 0.250
Cd 0.750 0.750 0.750
CELL_PARAMETERS angstrom
-2.288 2.544 3.497
-1.193 4.683 -0.764
-4.691 1.268 -0.569

***

[2]
! Er2Tm2C3 (PBE, optimized geometry); values from VASP
! E_form: -0.0721 eV per atom
! SG: No. 12
! Crystal system: monoclinic
&SYSTEM
  ibrav = 0, nat = 7, ntyp = 3
/
ATOMIC_SPECIES
C 12.01 C.upf
Er 167.26 Er.upf
Tm 168.93 Tm.upf
ATOMIC_POSITIONS crystal
C 0.000 0.000 0.000
C 0.199 0.264 0.339
C 0.801 0.736 0.661
Er 0.578 0.230 0.615
Er 0.422 0.770 0.385
Tm 0.811 0.245 0.132
Tm 0.189 0.755 0.868
CELL_PARAMETERS angstrom
3.417 0.000 1.044
0.526 7.139 4.391
-0.184 2.617 6.717

***

[3]
! Os2PbOF (PBE, optimized geometry); values from VASP
! Uncorrected formation energy: 2.105 eV/atom
! SG: No. 123
! Crystal system: tetragonal
&SYSTEM
  ibrav = 0, nat = 5, ntyp = 4
/
ATOMIC_SPECIES
Pb 207.20 Pb.upf
Os 190.23 Os.upf
O 16.00 O.upf
F 19.00 F.upf
ATOMIC_POSITIONS crystal
Pb 0.000 0.000 0.000
Os 0.000 0.000 0.500
Os 0.500 0.000 0.000
O 0.000 0.500 0.000
F 0.500 0.500 0.500
CELL_PARAMETERS angstrom
5.326 0.000 0.000
0.000 4.331 0.000
0.000 0.000 5.326

***

[4]
! Al3Te5 (PBE, optimized geometry); values from VASP
! Uncorrected formation energy: 0.097 eV/atom
! SG: No. 193
! Crystal system: hexagonal
! Relative energy among the computed polymorphs: 2.981 eV per formula unit
&SYSTEM
  ibrav = 0, nat = 16, ntyp = 2
/
ATOMIC_SPECIES
Al 26.98 Al.upf
Te 127.60 Te.upf
ATOMIC_POSITIONS crystal
Al 0.587 0.000 0.250
Al 0.000 0.413 0.750
Al 0.413 0.000 0.750
Al 0.587 0.587 0.750
Al 0.413 0.413 0.250
Al 0.000 0.587 0.250
Te 0.246 0.000 0.250
Te 0.667 0.333 0.500
Te 0.000 0.246 0.250
Te 0.754 0.754 0.250
Te 0.246 0.246 0.750
Te 0.667 0.333 0.000
Te 0.000 0.754 0.750
Te 0.333 0.667 0.000
Te 0.754 0.000 0.750
Te 0.333 0.667 0.500
CELL_PARAMETERS angstrom
-0.496 1.040 -7.941
-4.661 -5.427 3.635
-5.434 5.365 1.042

***

[5]
! Nd4Se4Br3 (PBE, optimized geometry); values from VASP
! Uncorrected formation energy: -1.688 eV/atom
! SG: No. 71
! Crystal system: orthorhombic
&SYSTEM
  ibrav = 0, nat = 11, ntyp = 3
/
ATOMIC_SPECIES
Se 78.96 Se.upf
Br 79.90 Br.upf
Nd 144.24 Nd.upf
ATOMIC_POSITIONS crystal
Se 0.666 0.873 0.332
Se 0.334 0.127 0.668
Se 0.666 0.459 0.332
Se 0.334 0.541 0.668
Br 0.910 0.910 0.821
Br 0.090 0.090 0.179
Br 0.000 0.500 0.000
Nd 0.768 0.268 0.535
Nd 0.500 0.781 0.000
Nd 0.232 0.732 0.465
Nd 0.500 0.219 0.000
CELL_PARAMETERS angstrom
4.249 0.000 0.000
0.000 8.423 0.000
-2.125 -4.211 8.656

***

[6]
! LiCu2F4 (PBE, optimized geometry); values from VASP
! Uncorrected formation energy: -1.718 eV/atom
! SG: No. 111
! Crystal system: tetragonal
! Relative energy among the computed polymorphs: 0.413 eV per formula unit
&SYSTEM
  ibrav = 0, nat = 7, ntyp = 3
/
ATOMIC_SPECIES
F 19.00 F.upf
Li 6.94 Li.upf
Cu 63.55 Cu.upf
ATOMIC_POSITIONS crystal
F 0.781 0.219 0.742
F 0.781 0.781 0.258
F 0.219 0.219 0.258
F 0.219 0.781 0.742
Li 0.000 0.000 0.000
Cu 0.000 0.500 0.500
Cu 0.500 0.000 0.500
CELL_PARAMETERS angstrom
-2.430 3.808 -0.625
-1.676 -0.376 4.225
3.672 2.621 1.690

***

[7]
! Er2Al2Ge3 (PBE, optimized geometry); values from VASP
! E_form: -0.3556 eV per atom
! SG: No. 12
! Crystal system: monoclinic
! Relative energy among the computed polymorphs: 1.221 eV per formula unit
&SYSTEM
  ibrav = 0, nat = 7, ntyp = 3
/
ATOMIC_SPECIES
Al 26.98 Al.upf
Ge 72.64 Ge.upf
Er 167.26 Er.upf
ATOMIC_POSITIONS crystal
Al 0.194 0.368 0.388
Al 0.806 0.632 0.612
Ge 0.716 0.205 0.431
Ge 0.000 0.500 0.000
Ge 0.284 0.795 0.569
Er 0.565 0.780 0.129
Er 0.435 0.220 0.871
CELL_PARAMETERS angstrom
4.339 0.000 0.000
0.000 7.630 0.047
-2.169 -2.395 4.644

***

[8]
! AlCo2Se (PBE, optimized geometry); values from VASP
! Uncorrected formation energy: -0.091 eV/atom
! SG: No. 47
! Crystal system: orthorhombic
! Relative energy among the computed polymorphs: 0.000 eV per formula unit
&SYSTEM
  ibrav = 0, nat = 4, ntyp = 3
/
ATOMIC_SPECIES
Co 58.93 Co.upf
Se 78.96 Se.upf
Al 26.98 Al.upf
ATOMIC_POSITIONS crystal
Co 0.000 0.006 0.994
Co 0.000 0.494 0.506
Se 0.500 0.250 0.250
Al 0.500 0.750 0.750
CELL_PARAMETERS angstrom
3.008 0.000 0.000
0.000 2.996 -0.008
0.000 3.011 5.705

***

[9]
! Pm6DyY2Ho3 (PBE, optimized geometry); values from VASP
! E_form: 0.0121 eV per atom
! SG: No. 12
! Crystal system: monoclinic
&SYSTEM
  ibrav = 0, nat = 12, ntyp = 4
/
ATOMIC_SPECIES
Ho 164.93 Ho.upf
Pm 145.00 Pm.upf
Y 88.91 Y.upf
Dy 162.50 Dy.upf
ATOMIC_POSITIONS crystal
Ho 0.500 0.500 0.500
Ho 0.167 0.833 0.500
Ho 0.833 0.167 0.500
Pm 0.583 0.916 0.749
Pm 0.084 0.417 0.251
Pm 0.417 0.084 0.251
Pm 0.916 0.583 0.749
Pm 0.249 0.249 0.749
Pm 0.751 0.751 0.251
Y 0.333 0.667 0.000
Y 0.667 0.333 0.000
Dy 0.000 0.000 0.000
CELL_PARAMETERS angstrom
-3.672 0.875 -4.974
4.370 -4.460 -0.092
-7.913 -6.425 6.012

***

[10]
! RbTcSe2 (PBE, optimized geometry); values from VASP
! Uncorrected formation energy: -0.435 eV/atom
! SG: No. 122
! Crystal system: tetragonal
! Relative energy among the computed polymorphs: 0.000 eV per formula unit
&SYSTEM
  ibrav = 0, nat = 8, ntyp = 3
/
ATOMIC_SPECIES
Se 78.96 Se.upf
Rb 85.47 Rb.upf
Tc 98.00 Tc.upf
ATOMIC_POSITIONS crystal
Se 0.742 0.125 0.250
Se 0.375 0.258 0.750
Se 0.875 0.992 0.750
Se 0.008 0.625 0.250
Rb 0.500 0.500 0.000
Rb 0.250 0.750 0.500
Tc 0.000 0.000 0.000
Tc 0.750 0.250 0.500
CELL_PARAMETERS angstrom
-1.681 6.534 3.371
-7.132 -2.289 0.880
-3.382 0.406 5.964

***

[11]
! NaH2PtO4 (PBE, optimized geometry); values from VASP
! Final energy: -4.933 eV per atom
! SG: No. 71
! Crystal system: orthorhombic
&SYSTEM
  ibrav = 0, nat = 8, ntyp = 4
/
ATOMIC_SPECIES
H 1.01 H.upf
O 16.00 O.upf
Na 22.99 Na.upf
Pt 195.08 Pt.upf
ATOMIC_POSITIONS crystal
H 0.811 0.689 0.689
H 0.189 0.311 0.311
O 0.554 0.707 0.708
O 0.969 0.293 0.292
O 0.446 0.292 0.293
O 0.031 0.708 0.707
Na 0.000 0.000 0.000
Pt 0.500 0.500 0.500
CELL_PARAMETERS angstrom
5.000 0.000 0.000
2.500 4.716 -0.223
2.500 0.164 4.719

***

[12]
! Hg2Te2O7 (PBE, optimized geometry); values from VASP
! Uncorrected formation energy: -0.626 eV/atom
! SG: No. 12
! Crystal system: monoclinic
! Relative energy among the computed polymorphs: 1.121 eV per formula unit
&SYSTEM
  ibrav = 0, nat = 11, ntyp = 3
/
ATOMIC_SPECIES
O 16.00 O.upf
Te 127.60 Te.upf
Hg 200.59 Hg.upf
ATOMIC_POSITIONS crystal
O 0.304 0.911 0.593
O 0.813 0.567 0.567
O 0.304 0.593 0.911
O 0.187 0.433 0.433
O 0.000 0.000 0.000
O 0.696 0.089 0.407
O 0.696 0.407 0.089
Te 0.880 0.274 0.274
Te 0.120 0.726 0.726
Hg 0.500 0.690 0.310
Hg 0.500 0.310 0.690
CELL_PARAMETERS angstrom
-5.702 -0.889 -2.050
2.205 -4.325 -3.577
-1.387 -2.141 5.465